Compound: Li4Ti2Fe3Ni3O16
Source: the Alexandria database
Functional: PBE with a Hubbard U
Structure: optimized geometry

Lattice parameters (Å, degrees): 10.1777 5.7766 9.4886 90.00 92.20 90.00
Space group Cm (No. 8)
One atom of each set of equivalent atoms:
Li 0.0000 0.0000 0.0000 (multiplicity 2)
Li 0.0057 0.0000 0.5030 (multiplicity 2)
Li 0.1634 0.5000 0.0996 (multiplicity 2)
Li 0.3358 0.0000 0.5966 (multiplicity 2)
Ti 0.1726 0.5000 0.5057 (multiplicity 2)
Ti 0.3328 0.0000 0.9971 (multiplicity 2)
Fe 0.3279 0.5000 0.7775 (multiplicity 2)
Fe 0.4122 0.2455 0.2810 (multiplicity 4)
Ni 0.0846 0.2535 0.7821 (multiplicity 4)
Ni 0.1668 0.0000 0.2830 (multiplicity 2)
O 0.0001 0.0000 0.6915 (multiplicity 2)
O 0.0206 0.5000 0.6602 (multiplicity 2)
O 0.0716 0.2553 0.3983 (multiplicity 4)
O 0.1613 0.0000 0.9005 (multiplicity 2)
O 0.1638 0.5000 0.8846 (multiplicity 2)
O 0.2405 0.2757 0.6410 (multiplicity 4)
O 0.2639 0.2273 0.1576 (multiplicity 4)
O 0.3354 0.5000 0.3931 (multiplicity 2)
O 0.3375 0.0000 0.3855 (multiplicity 2)
O 0.4106 0.2463 0.9056 (multiplicity 4)
O 0.4784 0.0000 0.1638 (multiplicity 2)
O 0.4928 0.5000 0.1886 (multiplicity 2)

Results
Electronic total energy ... -6.17 eV per atom
DOS(E_F) ... 6.4 states/eV/f.u.